No. 1
Rb2In2As2Se | PBE | optimized geometry

Structure (extended XYZ):
```
7
Lattice="4.572 0.000 0.000 0.030 7.119 0.000 0.000 2.965 7.497" Properties=species:S:1:pos:R:3 pbc="T T T"
Rb 4.571 0.842 2.074
Rb 0.032 9.242 5.424
In 2.295 5.508 6.332
In 2.308 4.577 1.165
As 0.021 4.280 2.744
As 4.582 5.805 4.753
Se 2.286 0.000 0.000
```

---

No. 2
4
Lattice="0.000 3.132 3.132 3.132 0.000 3.132 3.132 3.132 0.000" Properties=species:S:1:pos:R:3 comment="MnNi2I (PBE, optimized geometry)" polymorph_energy_mev_per_atom=0 pbc="T T T"
Mn 0.000 0.000 0.000
Ni 1.566 1.566 1.566
Ni 4.698 4.698 4.698
I 3.132 3.132 3.132

---

No. 3
8
Lattice="1.981 -5.978 0.000 1.981 5.978 0.000 0.000 0.000 10.063" Properties=species:S:1:pos:R:3 comment="La2YIr (PBE, optimized geometry)" polymorph_energy_mev_per_atom=45 formation_enthalpy_0k_kj_per_mol_atoms=-43 pbc="T T T"
La 1.981 4.316 5.720
La 1.981 4.316 9.374
La 1.981 -4.316 0.688
La 1.981 -4.316 4.343
Y 1.981 1.025 7.547
Y 1.981 -1.025 2.516
Ir 1.981 2.779 2.516
Ir 1.981 -2.779 7.547

---

No. 4
4
Lattice="3.657 0.000 0.000 0.000 3.657 0.000 0.000 0.000 10.338" Properties=species:S:1:pos:R:3 comment="PmPrSm2 (PBE, optimized geometry)" polymorph_energy_mev_per_atom=16 formation_enthalpy_0k_kj_per_mol_atoms=1 pbc="T T T"
Pm 0.000 0.000 0.000
Pr 0.000 0.000 5.169
Sm 1.828 1.828 2.561
Sm 1.828 1.828 7.777

---

No. 5
20
Lattice="-5.904 5.924 2.967 5.904 -5.924 2.967 5.904 5.924 -2.967" Properties=species:S:1:pos:R:3 comment="Ca3As2Pd5 (PBE, optimized geometry)" formation_enthalpy_0k_kj_per_mol_atoms=-59 pbc="T T T"
Ca 7.288 2.588 0.000
Ca 0.000 0.000 1.483
Ca 1.384 3.337 0.000
Ca 4.519 2.588 2.967
Ca 0.000 0.000 4.450
Ca -1.384 3.337 2.967
As 4.222 -4.187 2.967
As 4.222 4.187 0.000
As 1.681 1.737 2.967
As 1.681 10.112 0.000
Pd 4.406 1.786 0.000
Pd 2.988 5.924 -1.483
Pd 2.915 0.000 1.483
Pd 5.904 0.000 1.483
Pd 4.406 -1.786 2.967
Pd 1.497 7.710 0.000
Pd 0.000 5.924 1.483
Pd 2.988 5.924 1.483
Pd 2.915 0.000 4.450
Pd 1.497 4.139 2.967

---

No. 6
10
Lattice="5.016 2.896 3.906 -5.016 2.896 3.906 0.000 -5.792 3.906" Properties=species:S:1:pos:R:3 comment="CeNd3Sm6 (PBE, optimized geometry)" formation_enthalpy_0k_kj_per_mol_atoms=24 pbc="T T T"
Ce 0.000 0.000 0.000
Nd 0.000 0.000 2.847
Nd 0.000 0.000 5.859
Nd 0.000 0.000 8.873
Sm -1.610 -3.007 3.914
Sm -3.264 0.001 5.868
Sm -1.799 2.897 3.914
Sm 1.631 -2.828 5.868
Sm 3.409 0.109 3.914
Sm 1.633 2.827 5.868

---

No. 7
10
Lattice="6.285 0.000 0.000 0.000 5.769 0.000 -3.055 0.000 9.117" Properties=species:S:1:pos:R:3 comment="La2PmSmMg (PBE, optimized geometry)" formation_enthalpy_0k_kj_per_mol_atoms=1 pbc="T T T"
La -1.115 1.442 3.523
La -0.860 1.442 7.228
La 4.090 4.327 1.889
La 4.345 4.327 5.594
Pm 1.081 4.327 3.607
Pm 2.149 1.442 5.510
Sm 1.110 4.327 0.051
Sm 2.120 1.442 9.065
Mg 2.013 1.442 1.757
Mg 1.217 4.327 7.360

---

No. 8
YSiTc4 | PBE | optimized geometry

Structure (extended XYZ):
```
6
Lattice="0.000 3.702 3.702 3.702 0.000 3.702 3.702 3.702 0.000" Properties=species:S:1:pos:R:3 pbc="T T T"
Y 0.000 0.000 0.000
Si 5.553 5.553 5.553
Tc 2.787 2.787 2.787
Tc 4.617 4.617 2.787
Tc 4.617 2.787 4.617
Tc 2.787 4.617 4.617
```

---

The DFT total energy results, record by record, are as follows: -3.34 -4.99 -6.75 -4.73 -4.73 -4.60 -4.17 -8.76 eV/atom.